# MnWO2, optimized geometry, DFT GGA+U
# Relative energy among the computed polymorphs (meV per atom): 309
# DFT total energy (eV/atom): -6.99
data_MnWO2
_space_group_name_H-M_alt 'R -3 m'
_space_group_IT_number 166
_space_group_name_Hall '-R 3 2"'
_cell_length_a 2.8489
_cell_length_b 2.8489
_cell_length_c 20.3076
_cell_angle_alpha 90.00
_cell_angle_beta 90.00
_cell_angle_gamma 120.00
loop_
_atom_site_label
_atom_site_type_symbol
_atom_site_fract_x
_atom_site_fract_y
_atom_site_fract_z
Mn1 Mn 0.0000 0.0000 0.0000
W1 W 0.0000 0.0000 0.5000
O1 O 0.0000 0.0000 0.0969